The following is a DFT calculation (PBE) of a relaxed structure of Cr3CdGa.

Computed properties:
Formation energy (eV per atom): 1.560
Symmetry: Pm-3m
ΔE to the lowest computed polymorph (meV per atom): 516
Total magnetic moment (μB/f.u.): 13.74

Unit cell a=5.141 b=5.141 c=5.141 alpha=90.00 beta=90.00 gamma=90.00
Atoms (fractional coordinates):
Cr (0.000, 0.000, 0.500)
Cr (0.000, 0.500, 0.000)
Cr (0.500, 0.000, 0.000)
Cd (0.000, 0.000, 0.000)
Ga (0.500, 0.500, 0.500)


The following is a DFT calculation (PBE) of a relaxed structure of VGeAs.

Computed properties:
Formation energy (eV per atom): 0.239
Symmetry: P-6m2
Total magnetic moment (μB/f.u.): 0.00

Unit cell a=4.513 b=4.513 c=2.745 alpha=90.00 beta=90.00 gamma=120.00
Atoms (fractional coordinates):
V (0.000, 0.000, 0.000)
Ge (0.333, 0.667, 0.000)
As (0.667, 0.333, 0.500)


The following is a DFT calculation (PBE) of a relaxed structure of CaBPd2W.

Computed properties:
Formation energy (eV per atom): 2.665
Symmetry: P4/mmm
Total magnetic moment (μB/f.u.): 3.37

Unit cell a=4.743 b=4.743 c=5.401 alpha=90.00 beta=90.00 gamma=90.00
Atoms (fractional coordinates):
Ca (0.000, 0.000, 0.000)
B (0.500, 0.500, 0.500)
Pd (0.000, 0.500, 0.000)
Pd (0.500, 0.000, 0.000)
W (0.000, 0.000, 0.500)


The following is a DFT calculation (PBE) of a relaxed structure of Ca2CdPb8.

Computed properties:
Formation energy (eV per atom): -0.196
Symmetry: P4/mmm
Total magnetic moment (μB/f.u.): 0.00

Unit cell a=4.962 b=4.962 c=13.802 alpha=90.00 beta=90.00 gamma=90.00
Atoms (fractional coordinates):
Ca (0.000, 0.000, 0.172)
Ca (0.000, 0.000, 0.828)
Cd (0.000, 0.000, 0.500)
Pb (0.000, 0.500, 0.000)
Pb (0.000, 0.500, 0.360)
Pb (0.000, 0.500, 0.640)
Pb (0.500, 0.000, 0.000)
Pb (0.500, 0.000, 0.360)
Pb (0.500, 0.000, 0.640)
Pb (0.500, 0.500, 0.184)
Pb (0.500, 0.500, 0.816)


The following is a DFT calculation (PBE) of a relaxed structure of YZnP2.

Computed properties:
Formation energy (eV per atom): -0.582
Symmetry: Pmmm
Total magnetic moment (μB/f.u.): 0.00

Unit cell a=3.702 b=3.811 c=5.722 alpha=90.00 beta=90.00 gamma=90.00
Atoms (fractional coordinates):
Y (0.000, 0.000, 0.000)
Zn (0.000, 0.500, 0.500)
P (0.500, 0.500, 0.214)
P (0.500, 0.500, 0.786)


The following is a DFT calculation (PBE) of a relaxed structure of YCuReO2.

Computed properties:
ΔE_f (raw) (kJ per mole of atoms): 33.22
Symmetry: P4/mmm
Total magnetic moment (μB/f.u.): 2.35

Unit cell a=4.024 b=4.024 c=4.684 alpha=90.00 beta=90.00 gamma=90.00
Atoms (fractional coordinates):
Y (0.000, 0.000, 0.000)
Cu (0.500, 0.500, 0.500)
Re (0.500, 0.500, 0.000)
O (0.000, 0.500, 0.500)
O (0.500, 0.000, 0.500)


The following is a DFT calculation (PBE) of a relaxed structure of RbAl2Ni.

Computed properties:
Formation energy (eV per atom): 0.140
Symmetry: I4_1/amd
ΔE to the lowest computed polymorph (meV per atom): 0
Total magnetic moment (μB/f.u.): 0.00

Unit cell a=7.684 b=7.684 c=7.684 alpha=130.94 beta=130.94 gamma=71.91
Atoms (fractional coordinates):
Rb (0.375, 0.625, 0.750)
Rb (0.625, 0.375, 0.250)
Al (0.000, 0.000, 0.000)
Al (0.000, 0.000, 0.500)
Al (0.000, 0.500, 0.000)
Al (0.500, 0.000, 0.500)
Ni (0.125, 0.875, 0.250)
Ni (0.875, 0.125, 0.750)


The following is a DFT calculation (PBE) of a relaxed structure of MgCr2Ge2.

Computed properties:
Formation energy (eV per atom): 0.110
Symmetry: I4/mmm
Total magnetic moment (μB/f.u.): 0.77

Unit cell a=6.153 b=6.153 c=6.153 alpha=144.25 beta=144.25 gamma=51.45
Atoms (fractional coordinates):
Mg (0.000, 0.000, 0.000)
Cr (0.250, 0.750, 0.500)
Cr (0.750, 0.250, 0.500)
Ge (0.390, 0.390, 0.000)
Ge (0.610, 0.610, 0.000)